Entry 1:
Density functional theory data (PBE-GGA) for an optimized crystal structure of Sr2Sn2Pd3.

Values from the calculation:
Space group   C2/m
V   349 Å³/cell
Energy   -4.52 eV per atom

Unit cell a=11.9236 b=4.2810 c=7.5092 alpha=90.00 beta=114.27 gamma=90.00
Sites, in units of the cell vectors:
Sr (0.1260, 0.0000, 0.2504)
Sr (0.3740, 0.5000, 0.7496)
Sr (0.6260, 0.5000, 0.2504)
Sr (0.8740, 0.0000, 0.7496)
Sn (0.1460, 0.0000, 0.7148)
Sn (0.3540, 0.5000, 0.2852)
Sn (0.6460, 0.5000, 0.7148)
Sn (0.8540, 0.0000, 0.2852)
Pd (0.0000, 0.5000, 0.5000)
Pd (0.1499, 0.5000, 0.9295)
Pd (0.3501, 0.0000, 0.0705)
Pd (0.5000, 0.0000, 0.5000)
Pd (0.6499, 0.0000, 0.9295)
Pd (0.8501, 0.5000, 0.0705)

---

Entry 2:
Density functional theory data (PBE-GGA) for an optimized crystal structure of Ho4Al12Pd.

Values from the calculation:
Space group   Im-3m
V   322 Å³/cell
Energy   -4.56 eV per atom

Unit cell a=7.4799 b=7.4799 c=7.4799 alpha=109.47 beta=109.47 gamma=109.47
Sites, in units of the cell vectors:
Ho (0.0000, 0.0000, 0.5000)
Ho (0.0000, 0.5000, 0.0000)
Ho (0.5000, 0.0000, 0.0000)
Ho (0.5000, 0.5000, 0.5000)
Al (0.0000, 0.2927, 0.2927)
Al (0.0000, 0.7073, 0.7073)
Al (0.2500, 0.5000, 0.7500)
Al (0.2500, 0.7500, 0.5000)
Al (0.2927, 0.0000, 0.2927)
Al (0.2927, 0.2927, 0.0000)
Al (0.5000, 0.2500, 0.7500)
Al (0.5000, 0.7500, 0.2500)
Al (0.7073, 0.0000, 0.7073)
Al (0.7073, 0.7073, 0.0000)
Al (0.7500, 0.2500, 0.5000)
Al (0.7500, 0.5000, 0.2500)
Pd (0.0000, 0.0000, 0.0000)

---

Entry 3:
Density functional theory data (PBE-GGA) for an optimized crystal structure of TePdPt3.

Values from the calculation:
Space group   Pm-3m
Formation energy (no corrections)   942 meV/atom
V   118 Å³/cell
Energy   -4.35 eV per atom

Unit cell a=4.9064 b=4.9064 c=4.9064 alpha=90.00 beta=90.00 gamma=90.00
Sites, in units of the cell vectors:
Te (0.0000, 0.0000, 0.0000)
Pd (0.5000, 0.5000, 0.5000)
Pt (0.0000, 0.0000, 0.5000)
Pt (0.0000, 0.5000, 0.0000)
Pt (0.5000, 0.0000, 0.0000)

---

Entry 4:
Density functional theory data (PBE-GGA) for an optimized crystal structure of MgAsCl2.

Values from the calculation:
Space group   Cmmm
Formation energy (no corrections)   -467 meV/atom
V   177 Å³/cell
Energy   -2.95 eV per atom

Unit cell a=6.2919 b=6.6495 c=4.2373 alpha=90.00 beta=90.00 gamma=90.00
Sites, in units of the cell vectors:
Mg (0.0000, 0.0000, 0.0000)
Mg (0.5000, 0.5000, 0.0000)
As (0.0000, 0.5000, 0.0000)
As (0.5000, 0.0000, 0.0000)
Cl (0.0000, 0.2447, 0.5000)
Cl (0.0000, 0.7553, 0.5000)
Cl (0.5000, 0.2553, 0.5000)
Cl (0.5000, 0.7447, 0.5000)

---

Entry 5:
Density functional theory data (PBE-GGA) for an optimized crystal structure of NiAgPd6.

Values from the calculation:
Space group   P4/mmm
V   122 Å³/cell
Energy   -4.96 eV per atom

Unit cell a=3.9448 b=3.9448 c=7.8332 alpha=90.00 beta=90.00 gamma=90.00
Sites, in units of the cell vectors:
Ni (0.0000, 0.0000, 0.0000)
Ag (0.0000, 0.0000, 0.5000)
Pd (0.0000, 0.5000, 0.2385)
Pd (0.0000, 0.5000, 0.7615)
Pd (0.5000, 0.0000, 0.2385)
Pd (0.5000, 0.0000, 0.7615)
Pd (0.5000, 0.5000, 0.0000)
Pd (0.5000, 0.5000, 0.5000)

---

Entry 6:
Density functional theory data (PBE-GGA) for an optimized crystal structure of Mn3GePd6.

Values from the calculation:
Space group   R-3
V   313 Å³/cell
Energy   -6.43 eV per atom

Unit cell a=6.7922 b=6.7922 c=6.7922 alpha=88.84 beta=88.84 gamma=88.84
Sites, in units of the cell vectors:
Mn (0.1499, 0.4973, 0.6264)
Mn (0.3736, 0.8501, 0.5027)
Mn (0.4973, 0.6264, 0.1499)
Mn (0.5027, 0.3736, 0.8501)
Mn (0.6264, 0.1499, 0.4973)
Mn (0.8501, 0.5027, 0.3736)
Ge (0.0000, 0.0000, 0.0000)
Ge (0.5000, 0.5000, 0.5000)
Pd (0.0514, 0.1591, 0.3817)
Pd (0.1270, 0.7308, 0.2585)
Pd (0.1591, 0.3817, 0.0514)
Pd (0.2585, 0.1270, 0.7308)
Pd (0.2692, 0.7415, 0.8730)
Pd (0.3817, 0.0514, 0.1591)
Pd (0.6183, 0.9486, 0.8409)
Pd (0.7308, 0.2585, 0.1270)
Pd (0.7415, 0.8730, 0.2692)
Pd (0.8409, 0.6183, 0.9486)
Pd (0.8730, 0.2692, 0.7415)
Pd (0.9486, 0.8409, 0.6183)